Record 1
# PRhSe2

A relaxed structure of PRhSe2 (PBE, Alexandria via LeMat-Bulk).

Output
E, eV/cell: -19.297

abc: 3.3627 3.3627 7.1358
angles: 90.00 90.00 90.00
With the nearest neighbours (Å) after each atom.
Fractional positions:
Rh 0.5000 0.5000 0.6825  4 P 2.49, 1 Se 2.49
P 0.0000 0.0000 0.5777  1 Se 2.35, 4 Rh 2.49
Se 0.5000 0.5000 0.3332  1 Rh 2.49
Se 0.0000 0.0000 0.9066  1 P 2.35



Record 2
# PRhSe2

A relaxed structure of PRhSe2 (PBE, Alexandria via LeMat-Bulk).

Output
E, eV/cell: -17.797

abc: 4.5427 4.5427 4.5427
angles: 60.00 60.00 60.00
With the nearest neighbours (Å) after each atom.
Fractional positions:
P 0.5000 0.5000 0.5000  4 Rh 2.78, 4 Se 2.78
Se 0.0000 0.0000 0.0000  4 Se 2.78, 4 Rh 2.78
Se 0.2500 0.2500 0.2500  4 P 2.78, 4 Se 2.78
Rh 0.7500 0.7500 0.7500  4 P 2.78, 4 Se 2.78



Record 3
# P2RhSe

A relaxed structure of P2RhSe (PBE, Alexandria via LeMat-Bulk).

Output
E, eV/cell: -21.821

abc: 6.4979 6.4979 6.4979
angles: 30.78 30.78 30.78
With the nearest neighbours (Å) after each atom.
Fractional positions:
P 0.2500 0.2500 0.2500  3 Rh 2.40, 3 P 2.43
P 0.9916 0.9916 0.9916  3 P 2.43, 3 Se 2.58
Rh 0.5114 0.5114 0.5114  3 P 2.40
Se 0.7470 0.7470 0.7470  3 P 2.58, 3 Rh 2.69



Record 4
# P2RhSe

A relaxed structure of P2RhSe (PBE, Alexandria via LeMat-Bulk).

Output
E, eV/cell: -21.041

abc: 3.1676 3.1676 6.8753
angles: 90.00 90.00 90.00
With the nearest neighbours (Å) after each atom.
Fractional positions:
Rh 0.0000 0.0000 0.4728  5 P 2.48-2.77, 4 Se 2.65
P 0.0000 0.0000 0.1127  4 P 2.39, 1 Rh 2.48
P 0.5000 0.5000 0.2360  4 P 2.39
Se 0.5000 0.5000 0.6785  4 Rh 2.65



Record 5
# P2Rh2Se

A relaxed structure of P2Rh2Se (PBE, Alexandria via LeMat-Bulk).

Output
Distance to the lowest polymorph of the same formula, eV/atom: 0.278
E, eV/cell: -57.528

abc: 7.4970 7.4970 2.8092
angles: 90.00 90.00 90.00
With the nearest neighbours (Å) after each atom.
Fractional positions:
P 0.1391 0.3609 0.0000  4 Rh 2.46
P 0.6391 0.1391 0.0000  4 Rh 2.46
P 0.8609 0.6391 0.0000  4 Rh 2.46
P 0.3609 0.8609 0.0000  4 Rh 2.46
Rh 0.1295 0.6295 0.5000  4 P 2.46, 1 Rh 2.75
Rh 0.8705 0.3705 0.5000  4 P 2.46, 1 Rh 2.75
Rh 0.6295 0.8705 0.5000  4 P 2.46, 1 Rh 2.75
Rh 0.3705 0.1295 0.5000  4 P 2.46, 1 Rh 2.75
Se 0.0000 0.0000 0.0000  2 Se 2.81, 4 P 2.90
Se 0.5000 0.5000 0.0000  2 Se 2.81, 4 P 2.90



Record 6
# Tb6PRh2Se3

A relaxed structure of Tb6PRh2Se3 (PBE, Alexandria via LeMat-Bulk).

Output
E, eV/cell: -75.034

abc: 6.9982 6.9982 7.2802
angles: 99.29 99.29 120.05
With the nearest neighbours (Å) after each atom.
Fractional positions:
Se 0.1641 0.8359 0.5000  6 Tb 2.97-3.00
Se 0.5000 0.5000 0.5000  6 Tb 2.98-3.01
Se 0.8359 0.1641 0.5000  6 Tb 2.97-3.00
Tb 0.7399 0.7399 0.2288  2 Rh 2.81, 1 P 2.84, 3 Se 2.97-2.98
Tb 0.0747 0.4122 0.2279  2 Rh 2.79-2.81, 1 P 2.83, 3 Se 2.99-3.01
Tb 0.2601 0.2601 0.7712  2 Rh 2.81, 1 P 2.84, 3 Se 2.97-2.98
Tb 0.5878 0.9253 0.7721  2 Rh 2.79-2.81, 1 P 2.83, 3 Se 2.99-3.01
Tb 0.4122 0.0747 0.2279  2 Rh 2.79-2.81, 1 P 2.83, 3 Se 2.99-3.01
Tb 0.9253 0.5878 0.7721  2 Rh 2.79-2.81, 1 P 2.83, 3 Se 2.99-3.01
Rh 0.3330 0.6670 0.0000  6 Tb 2.79-2.81
Rh 0.6670 0.3330 0.0000  6 Tb 2.79-2.81
P 0.0000 0.0000 0.0000  6 Tb 2.83-2.84



Record 7
# Tb6P2RhSe3

A relaxed structure of Tb6P2RhSe3 (PBE, Alexandria via LeMat-Bulk).

Output
E, eV/cell: -75.478

abc: 4.0324 8.2564 9.1433
angles: 103.68 102.74 90.00
With the nearest neighbours (Å) after each atom.
Fractional positions:
Se 0.5000 0.5000 0.0000  6 Tb 2.96-2.97
Se 0.8310 0.1679 0.6620  6 Tb 2.94-3.00
Se 0.1690 0.8321 0.3380  6 Tb 2.94-3.00
Tb 0.3285 0.4276 0.6570  3 P 2.80, 3 Se 2.95-2.97
Tb 0.6614 0.0945 0.3228  1 Rh 2.79, 2 P 2.82, 3 Se 2.94-2.99
Tb 0.3386 0.9055 0.6772  1 Rh 2.79, 2 P 2.82, 3 Se 2.94-2.99
Tb 0.9959 0.7610 0.9919  2 Rh 2.81, 1 P 2.82, 3 Se 2.96-3.00
Tb 0.6715 0.5724 0.3430  3 P 2.80, 3 Se 2.95-2.97
Tb 0.0041 0.2390 0.0081  2 Rh 2.81, 1 P 2.82, 3 Se 2.96-3.00
P 0.1669 0.3354 0.3338  6 Tb 2.80-2.82
P 0.8331 0.6646 0.6662  6 Tb 2.80-2.82
Rh 0.5000 0.0000 0.0000  6 Tb 2.79-2.81



Record 8
# Th4P2RhSe

A relaxed structure of Th4P2RhSe (PBE, Alexandria via LeMat-Bulk).

Output
E, eV/cell: -62.190

abc: 4.0767 7.3027 7.2747
angles: 70.75 90.00 90.00
With the nearest neighbours (Å) after each atom.
Fractional positions:
Th 0.5000 0.7644 0.2406  3 P 2.86-2.94, 1 Rh 3.00, 2 Se 3.01
Th 0.0000 0.7476 0.7618  2 Rh 2.89, 3 P 2.92-2.98, 1 Se 3.03
Th 0.0000 0.2524 0.2382  2 Rh 2.89, 3 P 2.92-2.98, 1 Se 3.03
Th 0.5000 0.2356 0.7594  3 P 2.86-2.94, 1 Rh 3.00, 2 Se 3.01
Se 0.0000 0.5000 0.5000  6 Th 3.01-3.03
Rh 0.5000 0.5000 0.0000  6 Th 2.89-3.00
P 0.5000 0.0000 0.5000  6 Th 2.94-2.98
P 0.0000 0.0000 0.0000  6 Th 2.86-2.92



Record 9
# ThPRhSe

A relaxed structure of ThPRhSe (PBE, Alexandria via LeMat-Bulk).

Output
E, eV/cell: -56.369

abc: 4.0638 4.0638 9.5429
angles: 90.00 90.00 90.00
With the nearest neighbours (Å) after each atom.
Fractional positions:
Th 0.5000 0.0000 0.7423  4 P 3.04, 4 Se 3.08, 4 Rh 3.19
Th 0.0000 0.5000 0.2577  4 P 3.04, 4 Se 3.08, 4 Rh 3.19
Rh 0.5000 0.5000 0.0000  4 P 2.50
Rh 0.0000 0.0000 0.0000  4 P 2.50
Se 0.0000 0.0000 0.5000  4 Se 2.87, 4 Th 3.08
Se 0.5000 0.5000 0.5000  4 Se 2.87, 4 Th 3.08
P 0.0000 0.5000 0.8478  4 Rh 2.50
P 0.5000 0.0000 0.1522  4 Rh 2.50



Record 10
# Th4PRhSe2

A relaxed structure of Th4PRhSe2 (PBE, Alexandria via LeMat-Bulk).

Output
E, eV/cell: -60.527

abc: 4.0696 7.3937 7.3606
angles: 71.41 90.00 90.00
With the nearest neighbours (Å) after each atom.
Fractional positions:
Se 0.5000 0.0000 0.5000  6 Th 3.04-3.09
Se 0.0000 0.0000 0.0000  6 Th 3.05-3.06
Th 0.0000 0.7250 0.7652  2 Rh 2.84, 1 P 2.94, 3 Se 3.06-3.09
Th 0.5000 0.2675 0.7398  2 P 2.88, 1 Rh 2.95, 3 Se 3.04-3.05
Th 0.5000 0.7325 0.2602  2 P 2.88, 1 Rh 2.95, 3 Se 3.04-3.05
Th 0.0000 0.2750 0.2348  2 Rh 2.84, 1 P 2.94, 3 Se 3.06-3.09
P 0.0000 0.5000 0.5000  6 Th 2.88-2.94
Rh 0.5000 0.5000 0.0000  6 Th 2.84-2.95



Record 11
# Th6P2RhSe3

A relaxed structure of Th6P2RhSe3 (PBE, Alexandria via LeMat-Bulk).

Output
E, eV/cell: -90.583

abc: 4.0999 8.5510 9.4468
angles: 103.87 102.53 90.00
With the nearest neighbours (Å) after each atom.
Fractional positions:
Se 0.1658 0.8323 0.3315  6 Th 3.03-3.06
Se 0.8342 0.1677 0.6685  6 Th 3.03-3.06
Se 0.5000 0.5000 0.0000  6 Th 3.07-3.09
P 0.8327 0.6652 0.6654  6 Th 2.87-2.90
P 0.1673 0.3348 0.3346  6 Th 2.87-2.90
Th 0.0050 0.2321 0.0101  2 Rh 2.84, 1 P 2.90, 3 Se 3.06-3.09
Th 0.6713 0.5719 0.3426  3 P 2.87-2.89, 3 Se 3.05-3.07
Th 0.3287 0.4281 0.6574  3 P 2.87-2.89, 3 Se 3.05-3.07
Th 0.9950 0.7679 0.9899  2 Rh 2.84, 1 P 2.90, 3 Se 3.06-3.09
Th 0.6651 0.0971 0.3302  2 P 2.88, 1 Rh 2.95, 3 Se 3.03-3.06
Th 0.3349 0.9029 0.6698  2 P 2.88, 1 Rh 2.95, 3 Se 3.03-3.06
Rh 0.5000 0.0000 0.0000  6 Th 2.84-2.95



Record 12
# Tm8P3RhSe4

A relaxed structure of Tm8P3RhSe4 (PBE, Alexandria via LeMat-Bulk).

Output
E, eV/cell: -98.643

abc: 7.9651 8.0476 7.9652
angles: 119.66 120.00 90.00
With the nearest neighbours (Å) after each atom.
Fractional positions:
Se 0.5000 0.0000 0.0000  6 Tm 2.93
Se 0.0000 0.0000 0.0000  6 Tm 2.91-2.92
Se 0.0000 0.0000 0.5000  6 Tm 2.91-2.92
Se 0.5000 0.0000 0.5000  6 Tm 2.91-2.92
Tm 0.2547 0.2724 0.0135  1 Rh 2.73, 2 P 2.76, 3 Se 2.91-2.93
Tm 0.2412 0.7276 0.9865  1 Rh 2.73, 2 P 2.76, 3 Se 2.91-2.93
Tm 0.7426 0.7279 0.4853  3 P 2.75, 3 Se 2.92
Tm 0.2413 0.7277 0.4826  1 Rh 2.73, 2 P 2.76, 3 Se 2.91-2.93
Tm 0.7453 0.7276 0.9865  1 Rh 2.73, 2 P 2.76, 3 Se 2.91-2.93
Tm 0.7588 0.2724 0.0135  1 Rh 2.73, 2 P 2.76, 3 Se 2.91-2.93
Tm 0.7587 0.2723 0.5174  1 Rh 2.73, 2 P 2.76, 3 Se 2.91-2.93
Tm 0.2574 0.2721 0.5147  3 P 2.75, 3 Se 2.92
Rh 0.0000 0.5000 0.0000  6 Tm 2.73
P 0.5000 0.5000 0.5000  6 Tm 2.75-2.76
P 0.5000 0.5000 0.0000  6 Tm 2.75-2.76
P 0.0000 0.5000 0.5000  6 Tm 2.75-2.76



no.,formation energy from raw total energies (eV per atom),Fermi-level density of states (states/eV per atom),calculated density (g cm⁻³)
1,0.108,0.872,6.01
2,0.483,0.597,7.31
3,-0.041,0.466,6.35
4,0.154,0.761,5.87
5,0.049,0.598,7.29
6,-1.390,0.611,8.11
7,-1.589,0.505,7.81
8,-1.357,0.628,9.52
9,-1.130,0.826,9.37
10,-1.390,0.724,9.65
11,-1.453,0.814,9.51
12,-1.585,0.431,8.53